Compound: YHOs
Source: the Alexandria database
Functional: PBE-GGA
Structure: relaxed

Electronic total energy: -84.63 eV/cell

abc: 15.7015 3.6218 3.4375
angles: 90.00 90.00 90.00
Closest atoms and distances in Å follow each position.
Fractional coordinates of all 12 atoms:
Y  0.1597  0.2500  0.2489  1 H 2.27
Y  0.3403  0.7500  0.7489  1 H 2.27
Y  0.6597  0.2500  0.2511  1 H 2.27
Y  0.8403  0.7500  0.7511  1 H 2.27
H  0.1960  0.7500  0.7468  1 Y 2.27
H  0.3040  0.2500  0.2468  1 Y 2.27
H  0.6960  0.7500  0.7532  1 Y 2.27
H  0.8040  0.2500  0.2532  1 Y 2.27
Os  0.0006  0.7500  0.2502  4 Os 2.50
Os  0.4994  0.2500  0.7502  4 Os 2.50
Os  0.5006  0.7500  0.2498  4 Os 2.50
Os  0.9994  0.2500  0.7498  4 Os 2.50



Compound: Mg2Sb2Te
Source: the Alexandria database
Functional: PBE-GGA
Structure: relaxed

Formation energy (no corrections): -60 meV per atom

abc: 5.1970 5.1970 10.5818
angles: 90.00 90.00 90.00
Closest atoms and distances in Å follow each position.
Fractional coordinates of all 10 atoms:
Mg  0.0000  0.5000  0.2500  4 Sb 2.88
Mg  0.0000  0.5000  0.7500  4 Sb 2.88
Mg  0.5000  0.0000  0.2500  4 Sb 2.88
Mg  0.5000  0.0000  0.7500  4 Sb 2.88
Sb  0.0000  0.0000  0.1319  1 Sb 2.79, 4 Mg 2.88
Sb  0.0000  0.0000  0.8681  1 Sb 2.79, 4 Mg 2.88
Sb  0.5000  0.5000  0.3681  1 Sb 2.79, 4 Mg 2.88
Sb  0.5000  0.5000  0.6319  1 Sb 2.79, 4 Mg 2.88
Te  0.0000  0.0000  0.5000  8 Mg 3.71, 10 Sb 3.90-3.93
Te  0.5000  0.5000  0.0000  8 Mg 3.71, 10 Sb 3.90-3.93



Compound: Ba3Li2
Source: the Alexandria database
Functional: PBE-GGA
Structure: relaxed

Formation enthalpy at 0 K: 37 meV per atom

abc: 5.0981 18.3781 5.1167
angles: 90.00 90.00 90.00
Closest atoms and distances in Å follow each position.
Fractional coordinates of all 10 atoms:
Ba  0.0000  0.0000  0.0000  2 Li 3.81
Ba  0.0000  0.3579  0.5000  6 Li 3.77-3.81
Ba  0.0000  0.6421  0.5000  6 Li 3.77-3.81
Ba  0.5000  0.1421  0.5000  6 Li 3.77-3.81
Ba  0.5000  0.5000  0.0000  2 Li 3.81
Ba  0.5000  0.8579  0.5000  6 Li 3.77-3.81
Li  0.0000  0.2074  0.0000  2 Li 2.99
Li  0.0000  0.7926  0.0000  2 Li 2.99
Li  0.5000  0.2926  0.0000  2 Li 2.99
Li  0.5000  0.7074  0.0000  2 Li 2.99



Compound: ErCoB2Os
Source: the Alexandria database
Functional: PBE-GGA
Structure: relaxed

Formation enthalpy at 0 K: -504 meV per atom

abc: 3.7572 3.7572 9.3350
angles: 90.00 90.00 90.00
Closest atoms and distances in Å follow each position.
Fractional coordinates of all 10 atoms:
Er  0.0000  0.0000  0.0000  4 Co 3.00, 4 Os 3.00, 10 B 3.02-3.23
Er  0.5000  0.5000  0.5000  4 Co 3.00, 4 Os 3.00, 10 B 3.02-3.23
Co  0.0000  0.5000  0.7500  4 B 2.08
Co  0.5000  0.0000  0.2500  4 B 2.08
B  0.0000  0.0000  0.3456  2 Co 2.08, 2 Os 2.08
B  0.0000  0.0000  0.6544  2 Co 2.08, 2 Os 2.08
B  0.5000  0.5000  0.1544  2 Co 2.08, 2 Os 2.08
B  0.5000  0.5000  0.8456  2 Co 2.08, 2 Os 2.08
Os  0.0000  0.5000  0.2500  4 B 2.08
Os  0.5000  0.0000  0.7500  4 B 2.08



Compound: Li2CaH
Source: the Alexandria database
Functional: PBE-GGA
Structure: relaxed

Electronic total energy: -27.53 eV/cell

abc: 7.1115 7.1115 7.1115
angles: 90.00 90.00 90.00
Closest atoms and distances in Å follow each position.
Fractional coordinates of all 16 atoms:
Li  0.2500  0.2500  0.2500  4 H 3.08, 4 Ca 3.08
Li  0.2500  0.2500  0.7500  4 H 3.08, 4 Ca 3.08
Li  0.2500  0.7500  0.2500  4 H 3.08, 4 Ca 3.08
Li  0.2500  0.7500  0.7500  4 H 3.08, 4 Ca 3.08
Li  0.7500  0.2500  0.2500  4 H 3.08, 4 Ca 3.08
Li  0.7500  0.2500  0.7500  4 H 3.08, 4 Ca 3.08
Li  0.7500  0.7500  0.2500  4 H 3.08, 4 Ca 3.08
Li  0.7500  0.7500  0.7500  4 H 3.08, 4 Ca 3.08
Ca  0.0000  0.0000  0.0000  8 Li 3.08
Ca  0.0000  0.5000  0.5000  8 Li 3.08
Ca  0.5000  0.0000  0.5000  8 Li 3.08
Ca  0.5000  0.5000  0.0000  8 Li 3.08
H  0.0000  0.0000  0.5000  8 Li 3.08
H  0.0000  0.5000  0.0000  8 Li 3.08
H  0.5000  0.0000  0.0000  8 Li 3.08
H  0.5000  0.5000  0.5000  8 Li 3.08



Compound: TeAu3
Source: the Alexandria database
Functional: PBE-GGA
Structure: relaxed

Formation energy (no corrections): 115 meV per atom

abc: 3.7944 5.7349 7.9107
angles: 90.00 90.00 90.00
Closest atoms and distances in Å follow each position.
Fractional coordinates of all 8 atoms:
Te  0.2500  0.2500  0.1222  8 Au 2.88-3.09
Te  0.7500  0.7500  0.8778  8 Au 2.88-3.09
Au  0.2500  0.0008  0.6295  6 Au 2.79-2.92, 2 Te 3.09
Au  0.2500  0.4992  0.6295  6 Au 2.79-2.92, 2 Te 3.09
Au  0.2500  0.7500  0.1550  4 Te 2.88-2.90, 4 Au 2.92
Au  0.7500  0.2500  0.8450  4 Te 2.88-2.90, 4 Au 2.92
Au  0.7500  0.5008  0.3705  6 Au 2.79-2.92, 2 Te 3.09
Au  0.7500  0.9992  0.3705  6 Au 2.79-2.92, 2 Te 3.09



Compound: CdGePd2
Source: the Alexandria database
Functional: PBE-GGA
Structure: relaxed

Formation enthalpy at 0 K: -305 meV per atom

abc: 4.5581 4.5581 3.1968
angles: 90.00 90.00 90.00
Closest atoms and distances in Å follow each position.
Fractional coordinates of all 4 atoms:
Cd  0.0000  0.0000  0.0000  8 Pd 2.78
Ge  0.5000  0.5000  0.0000  8 Pd 2.78
Pd  0.0000  0.5000  0.5000  4 Ge 2.78, 4 Cd 2.78
Pd  0.5000  0.0000  0.5000  4 Ge 2.78, 4 Cd 2.78



Compound: Na3ScTl3Cl8
Source: the Alexandria database
Functional: PBE-GGA
Structure: relaxed

Formation energy (no corrections): -1502 meV per atom

abc: 7.9472 7.9472 9.3835
angles: 115.17 115.17 59.96
Closest atoms and distances in Å follow each position.
Fractional coordinates of all 15 atoms:
Na  0.0000  0.0000  0.0000  6 Cl 2.75-2.84
Na  0.0000  0.5000  0.0000  6 Cl 2.74-2.84
Na  0.5000  0.0000  0.0000  6 Cl 2.74-2.84
Sc  0.5000  0.5000  0.0000  6 Cl 2.52
Tl  0.0000  0.5000  0.5000  6 Cl 3.40-3.45
Tl  0.5000  0.0000  0.5000  6 Cl 3.40-3.45
Tl  0.5000  0.5000  0.5000  6 Cl 3.41-3.45
Cl  0.2285  0.2285  0.1846  3 Na 2.74-2.75
Cl  0.2637  0.7086  0.1802  1 Sc 2.52
Cl  0.2914  0.2914  0.8196  1 Sc 2.52
Cl  0.2914  0.7363  0.8198  1 Sc 2.52
Cl  0.7086  0.2637  0.1802  1 Sc 2.52
Cl  0.7086  0.7086  0.1804  1 Sc 2.52
Cl  0.7363  0.2914  0.8198  1 Sc 2.52
Cl  0.7715  0.7715  0.8154  3 Na 2.74-2.75



Compound: BaBSbPd2
Source: the Alexandria database
Functional: PBE-GGA
Structure: relaxed

Formation energy (no corrections): 893 meV per atom

abc: 4.9722 4.9722 6.6465
angles: 90.00 90.00 90.00
Closest atoms and distances in Å follow each position.
Fractional coordinates of all 5 atoms:
Ba  0.0000  0.0000  0.0000  2 Sb 3.32, 4 B 3.52
B  0.5000  0.5000  0.0000  4 Ba 3.52
Sb  0.0000  0.0000  0.5000  4 Pd 2.49
Pd  0.0000  0.5000  0.5000  2 Sb 2.49
Pd  0.5000  0.0000  0.5000  2 Sb 2.49



Compound: BaRePb
Source: the Alexandria database
Functional: PBE-GGA
Structure: relaxed

Formation enthalpy at 0 K: 1803 meV per atom

abc: 7.6296 7.6296 7.6296
angles: 90.00 90.00 90.00
Closest atoms and distances in Å follow each position.
Fractional coordinates of all 12 atoms:
Ba  0.0000  0.0000  0.0000  4 Pb 3.30, 4 Re 3.30
Ba  0.0000  0.5000  0.5000  4 Pb 3.30, 4 Re 3.30
Ba  0.5000  0.0000  0.5000  4 Pb 3.30, 4 Re 3.30
Ba  0.5000  0.5000  0.0000  4 Pb 3.30, 4 Re 3.30
Re  0.2500  0.2500  0.2500  4 Ba 3.30
Re  0.2500  0.7500  0.7500  4 Ba 3.30
Re  0.7500  0.2500  0.7500  4 Ba 3.30
Re  0.7500  0.7500  0.2500  4 Ba 3.30
Pb  0.2500  0.2500  0.7500  4 Ba 3.30
Pb  0.2500  0.7500  0.2500  4 Ba 3.30
Pb  0.7500  0.2500  0.2500  4 Ba 3.30
Pb  0.7500  0.7500  0.7500  4 Ba 3.30



Compound: CoSbAu2
Source: the Alexandria database
Functional: PBE-GGA
Structure: relaxed

Formation energy (no corrections): 270 meV per atom

abc: 6.5696 6.5696 6.5696
angles: 90.00 90.00 90.00
Closest atoms and distances in Å follow each position.
Fractional coordinates of all 16 atoms:
Co  0.0000  0.0000  0.0000  4 Sb 2.84, 4 Au 2.84
Co  0.0000  0.5000  0.5000  4 Sb 2.84, 4 Au 2.84
Co  0.5000  0.0000  0.5000  4 Sb 2.84, 4 Au 2.84
Co  0.5000  0.5000  0.0000  4 Sb 2.84, 4 Au 2.84
Sb  0.2500  0.2500  0.2500  4 Co 2.84, 4 Au 2.84
Sb  0.2500  0.7500  0.7500  4 Co 2.84, 4 Au 2.84
Sb  0.7500  0.2500  0.7500  4 Co 2.84, 4 Au 2.84
Sb  0.7500  0.7500  0.2500  4 Co 2.84, 4 Au 2.84
Au  0.0000  0.0000  0.5000  4 Sb 2.84, 4 Au 2.84
Au  0.0000  0.5000  0.0000  4 Sb 2.84, 4 Au 2.84
Au  0.2500  0.2500  0.7500  4 Co 2.84, 4 Au 2.84
Au  0.2500  0.7500  0.2500  4 Co 2.84, 4 Au 2.84
Au  0.5000  0.0000  0.0000  4 Sb 2.84, 4 Au 2.84
Au  0.5000  0.5000  0.5000  4 Sb 2.84, 4 Au 2.84
Au  0.7500  0.2500  0.2500  4 Co 2.84, 4 Au 2.84
Au  0.7500  0.7500  0.7500  4 Co 2.84, 4 Au 2.84



Compound: Dy2PtPb
Source: the Alexandria database
Functional: PBE-GGA
Structure: relaxed

Formation enthalpy at 0 K: -847 meV per atom

abc: 3.5535 3.5535 7.8830
angles: 90.00 90.00 90.00
Closest atoms and distances in Å follow each position.
Fractional coordinates of all 4 atoms:
Dy  0.0000  0.0000  0.2116  4 Pt 3.02, 1 Dy 3.34
Dy  0.0000  0.0000  0.7884  4 Pt 3.02, 1 Dy 3.34
Pt  0.5000  0.5000  0.0000  8 Dy 3.02
Pb  0.5000  0.5000  0.5000  8 Dy 3.39, 4 Pb 3.55